Sm3Al2Si4 | PBE | relaxed

```
9
Lattice="4.149 0.000 0.000 -2.075 5.526 -0.298 0.000 -2.661 8.178" Properties=species:S:1:pos:R:3 pbc="T T T"
Sm 2.075 -0.525 5.603
Sm 0.000 0.000 0.000
Sm 0.000 3.389 2.277
Al 2.075 1.083 2.545
Al 0.000 1.782 5.336
Si 2.075 2.317 0.322
Si 0.000 0.548 7.558
Si 2.075 2.905 4.583
Si 0.000 -0.040 3.297
```

Results
**Symmetry**: C2/m (12)
**Formation energy (no corrections)**: -0.582 eV/atom
**Final energy**: -48.573 eV/cell